Record 1
AgSb2Te3 (PBE-GGA, optimized geometry); E above lowest polymorph = 0.0656 eV per atom; space group = Cmc2_1 (36); D(E_F) = 2.78 states/eV/cell; formation energy (no corrections) = 0.02 eV per atom
1.0
6.430 0.000 0.000
0.000 8.236 1.123
0.000 -3.056 7.730
Ag Sb Te
2 4 6
Direct
0.027 0.839 0.839 Ag
0.527 0.161 0.161 Ag
0.489 0.518 0.825 Sb
0.489 0.825 0.518 Sb
0.989 0.175 0.482 Sb
0.989 0.482 0.175 Sb
0.486 0.877 0.877 Te
0.483 0.163 0.503 Te
0.483 0.503 0.163 Te
0.986 0.123 0.123 Te
0.983 0.497 0.837 Te
0.983 0.837 0.497 Te


Record 2
Ag12SbTe7 (PBE-GGA, optimized geometry); space group = R-3 (148); D(E_F) = 4.68 states/eV/cell; formation energy (no corrections) = 0.02 eV per atom
1.0
-7.073 -4.048 -6.467
4.594 -5.521 4.011
-5.563 -4.896 3.571
Ag Te Sb
12 7 1
Direct
0.999 0.504 0.292 Ag
0.495 0.204 0.504 Ag
0.286 0.937 0.398 Ag
0.291 0.292 0.204 Ag
0.714 0.063 0.602 Ag
0.651 0.335 0.063 Ag
0.709 0.708 0.796 Ag
0.316 0.602 0.335 Ag
0.505 0.796 0.496 Ag
0.349 0.665 0.937 Ag
0.684 0.398 0.665 Ag
0.001 0.496 0.708 Ag
0.828 0.200 0.193 Te
0.021 0.193 0.607 Te
0.628 0.607 0.200 Te
0.500 0.000 0.000 Te
0.979 0.807 0.393 Te
0.372 0.393 0.800 Te
0.172 0.800 0.807 Te
0.000 0.000 0.000 Sb


Which value of formation energy (no corrections) does entry 1 give? 0.02 eV per atom


Among the records above, which one has the highest D(E_F)? Ag12SbTe7